<a>
Here is a geometry-optimized LiHfFe3 structure from the Alexandria database. Energies are from PBE.

Computed properties:
ρ (g/cm³): 5.8
Total magnetization (μB/atom): 1.23

a = 4.654 Å, b = 4.654 Å, c = 4.654 Å
α = 90.00°, β = 90.00°, γ = 90.00°
Each line ends with the local moment (μB).
Fractional positions:
Hf 0.000 0.000 0.000  -0.56
Fe 0.000 0.500 0.000  2.32
Fe 0.000 0.000 0.500  2.28
Fe 0.500 0.000 0.000  2.25
Li 0.500 0.500 0.500  -0.01

---

<b>
Here is a geometry-optimized LiHfFe3 structure from the Alexandria database. Energies are from PBE.

Computed properties:
ρ (g/cm³): 8.9
Total magnetization (μB/atom): 0.99

a = 4.039 Å, b = 4.039 Å, c = 4.039 Å
α = 90.00°, β = 90.00°, γ = 90.00°
Each line ends with the local moment (μB).
Fractional positions:
Hf 0.500 0.500 0.500  -0.51
Fe 0.000 0.500 0.000  2.11
Fe 0.000 0.000 0.500  2.08
Fe 0.500 0.000 0.000  1.65
Li 0.000 0.000 0.000  -0.08

---

Which structure is the most stable? The one labeled <b>.

---

<a>
Here is a geometry-optimized Li2HfFe structure from the Alexandria database. Energies are from PBE.

Computed properties:
ρ (g/cm³): 7.5
Total magnetization (μB/atom): 0.00

a = 4.273 Å, b = 4.273 Å, c = 4.273 Å
α = 60.00°, β = 60.00°, γ = 60.00°
Fractional positions:
Hf 0.500 0.500 0.500
Fe 0.000 0.000 0.000
Li 0.250 0.250 0.250
Li 0.750 0.750 0.750

---

<b>
Here is a geometry-optimized Li2HfFe structure from the Alexandria database. Energies are from PBE.

Computed properties:
ρ (g/cm³): 6.3
Total magnetization (μB/atom): 0.14

a = 3.544 Å, b = 3.544 Å, c = 10.640 Å
α = 80.41°, β = 80.41°, γ = 90.00°
Each line ends with the local moment (μB).
Fractional positions:
Hf 0.000 0.000 0.000  -0.22
Hf 0.750 0.250 0.500  -0.22
Fe 0.500 0.500 0.000  0.87
Fe 0.250 0.750 0.500  0.88
Li 0.594 0.125 0.250  -0.01
Li 0.156 0.625 0.250  -0.01
Li 0.375 0.406 0.750  -0.01
Li 0.875 0.844 0.750  -0.01

---

Which structure is the most stable? The one labeled <b>.

---

<a>
Here is a geometry-optimized Li2Hf2Fe structure from the Alexandria database. Energies are from PBE.

Computed properties:
ρ (g/cm³): 9.0
Total magnetization (μB/atom): 0.00

a = 6.192 Å, b = 6.192 Å, c = 4.098 Å
α = 90.00°, β = 90.00°, γ = 90.00°
Fractional positions:
Hf 0.198 0.698 0.500
Hf 0.698 0.802 0.500
Hf 0.802 0.302 0.500
Hf 0.302 0.198 0.500
Fe 0.000 0.000 0.000
Fe 0.500 0.500 0.000
Li 0.381 0.881 0.000
Li 0.881 0.619 0.000
Li 0.619 0.119 0.000
Li 0.119 0.381 0.000

---

<b>
Here is a geometry-optimized Li2Hf2Fe structure from the Alexandria database. Energies are from PBE.

Computed properties:
ρ (g/cm³): 9.1
Total magnetization (μB/atom): 0.00

a = 4.800 Å, b = 4.800 Å, c = 4.780 Å
α = 59.86°, β = 59.86°, γ = 90.00°
Fractional positions:
Hf 0.750 0.250 0.500
Hf 0.250 0.750 0.500
Fe 0.000 0.000 0.000
Li 0.371 0.371 0.257
Li 0.629 0.629 0.743

---

Which structure is the most stable? The one labeled <a>.

---

<a>
Here is a geometry-optimized LuHfFe2 structure from the Alexandria database. Energies are from PBE.

Computed properties:
ρ (g/cm³): 11.9
Total magnetization (μB/atom): 0.12

a = 3.184 Å, b = 3.184 Å, c = 6.419 Å
α = 90.00°, β = 90.00°, γ = 90.00°
Each line ends with the local moment (μB).
Fractional positions:
Lu 0.500 0.500 0.500  -0.07
Hf 0.500 0.500 0.000  -0.09
Fe 0.000 0.000 0.770  0.33
Fe 0.000 0.000 0.230  0.33

---

<b>
Here is a geometry-optimized LuHfFe2 structure from the Alexandria database. Energies are from PBE.

Computed properties:
ρ (g/cm³): 12.0
Total magnetization (μB/atom): 0.06

a = 4.499 Å, b = 4.499 Å, c = 4.499 Å
α = 60.00°, β = 60.00°, γ = 60.00°
Each line ends with the local moment (μB).
Fractional positions:
Lu 0.000 0.000 0.000  -0.05
Hf 0.500 0.500 0.500  -0.07
Fe 0.250 0.250 0.250  0.20
Fe 0.750 0.750 0.750  0.20

---

Which structure is the most stable? The one labeled <a>.